Material: Ba2LiTl8
Method: DFT, PBE-GGA
State: relaxed Values from VASP.

The structure in Quantum ESPRESSO input format:
```
&SYSTEM
  ibrav = 0, nat = 11, ntyp = 3
/
ATOMIC_SPECIES
Ba 137.33 Ba.upf
Li 6.94 Li.upf
Tl 204.38 Tl.upf
CELL_PARAMETERS angstrom
5.1020 0.0000 0.0000
0.0000 5.1020 0.0000
0.0000 0.0000 13.4207
ATOMIC_POSITIONS crystal
Ba 0.0000 0.0000 0.1931
Ba 0.0000 0.0000 0.8069
Li 0.0000 0.0000 0.5000
Tl 0.0000 0.5000 0.0000
Tl 0.0000 0.5000 0.3816
Tl 0.0000 0.5000 0.6184
Tl 0.5000 0.0000 0.0000
Tl 0.5000 0.0000 0.3816
Tl 0.5000 0.0000 0.6184
Tl 0.5000 0.5000 0.1861
Tl 0.5000 0.5000 0.8139
```

Output
D(E_F): 0.665 states/eV per atom
total moment: 0.0 μB/cell
formation energy from the elements: -20 kJ/mol of atoms
symmetry: No. 123

Material: BaLiTl
Method: DFT, PBE-GGA
State: relaxed Values from VASP.

The structure in Quantum ESPRESSO input format:
```
&SYSTEM
  ibrav = 0, nat = 6, ntyp = 3
/
ATOMIC_SPECIES
Ba 137.33 Ba.upf
Li 6.94 Li.upf
Tl 204.38 Tl.upf
CELL_PARAMETERS angstrom
2.1994 -7.8172 0.0000
2.1994 7.8172 0.0000
0.0000 0.0000 5.6538
ATOMIC_POSITIONS crystal
Ba 0.0807 0.9193 0.7500
Ba 0.9193 0.0807 0.2500
Li 0.2430 0.7570 0.2500
Li 0.7570 0.2430 0.7500
Tl 0.3728 0.6272 0.7500
Tl 0.6272 0.3728 0.2500
```

Output
energy above the most stable polymorph in this dataset: 0.011 eV/atom
D(E_F): 0.780 states/eV per atom
total moment: 0.0 μB/cell
formation energy from the elements: -24 kJ/mol of atoms
symmetry: No. 63

Material: BaLi2Tl
Method: DFT, PBE-GGA
State: relaxed Values from VASP.

The structure in Quantum ESPRESSO input format:
```
&SYSTEM
  ibrav = 0, nat = 4, ntyp = 3
/
ATOMIC_SPECIES
Ba 137.33 Ba.upf
Li 6.94 Li.upf
Tl 204.38 Tl.upf
CELL_PARAMETERS angstrom
2.4424 1.4101 5.8408
-2.4424 1.4101 5.8408
0.0000 -2.8202 5.8408
ATOMIC_POSITIONS crystal
Ba 0.0000 0.0000 0.0000
Li 0.1967 0.1967 0.1967
Li 0.8033 0.8033 0.8033
Tl 0.5000 0.5000 0.5000
```

Output
energy above the most stable polymorph in this dataset: 0.000 eV/atom
D(E_F): 0.774 states/eV per atom
total moment: 0.0 μB/cell
formation energy from the elements: -20 kJ/mol of atoms
symmetry: No. 166

Material: Ba2LiTl
Method: DFT, PBE-GGA
State: relaxed Values from VASP.

The structure in Quantum ESPRESSO input format:
```
&SYSTEM
  ibrav = 0, nat = 4, ntyp = 3
/
ATOMIC_SPECIES
Ba 137.33 Ba.upf
Li 6.94 Li.upf
Tl 204.38 Tl.upf
CELL_PARAMETERS angstrom
4.3478 0.0000 0.0000
0.0000 6.0587 0.0000
0.0000 0.0000 6.0593
ATOMIC_POSITIONS crystal
Ba 0.0000 0.0000 0.0000
Ba 0.0000 0.5000 0.4981
Li 0.5000 0.5000 0.9965
Tl 0.5000 0.0000 0.5011
```

Output
D(E_F): 0.994 states/eV per atom
total moment: 0.0 μB/cell
formation energy from the elements: -21 kJ/mol of atoms
symmetry: No. 25

Material: BaLiTl
Method: DFT, PBE-GGA
State: relaxed Values from VASP.

The structure in Quantum ESPRESSO input format:
```
&SYSTEM
  ibrav = 0, nat = 9, ntyp = 3
/
ATOMIC_SPECIES
Ba 137.33 Ba.upf
Li 6.94 Li.upf
Tl 204.38 Tl.upf
CELL_PARAMETERS angstrom
-2.6785 7.7136 3.6838
2.6785 -7.7136 3.6838
2.6785 7.7136 -3.6838
ATOMIC_POSITIONS crystal
Ba 0.0000 0.0000 0.0000
Ba 0.5081 0.1539 0.3542
Ba 0.7997 0.1539 0.6458
Li 0.1807 0.3448 0.8359
Li 0.2877 0.7877 0.5000
Li 0.5089 0.3448 0.1641
Tl 0.3411 0.6538 0.6873
Tl 0.4927 0.4927 0.0000
Tl 0.9665 0.6538 0.3127
```

Output
energy above the most stable polymorph in this dataset: 0.051 eV/atom
D(E_F): 0.956 states/eV per atom
total moment: 0.0 μB/cell
formation energy from the elements: -20 kJ/mol of atoms
symmetry: No. 44

Material: BaLiTl4
Method: DFT, PBE-GGA
State: relaxed Values from VASP.

The structure in Quantum ESPRESSO input format:
```
&SYSTEM
  ibrav = 0, nat = 6, ntyp = 3
/
ATOMIC_SPECIES
Ba 137.33 Ba.upf
Li 6.94 Li.upf
Tl 204.38 Tl.upf
CELL_PARAMETERS angstrom
0.0000 4.6175 4.6175
4.6175 0.0000 4.6175
4.6175 4.6175 0.0000
ATOMIC_POSITIONS crystal
Ba 0.0000 0.0000 0.0000
Li 0.7500 0.7500 0.7500
Tl 0.3756 0.3756 0.3756
Tl 0.3756 0.3756 0.8731
Tl 0.3756 0.8731 0.3756
Tl 0.8731 0.3756 0.3756
```

Output
energy above the most stable polymorph in this dataset: 0.136 eV/atom
D(E_F): 0.772 states/eV per atom
total moment: 0.0 μB/cell
formation energy from the elements: -12 kJ/mol of atoms
symmetry: No. 216

Material: BaLi2Tl
Method: DFT, PBE-GGA
State: relaxed Values from VASP.

The structure in Quantum ESPRESSO input format:
```
&SYSTEM
  ibrav = 0, nat = 4, ntyp = 3
/
ATOMIC_SPECIES
Ba 137.33 Ba.upf
Li 6.94 Li.upf
Tl 204.38 Tl.upf
CELL_PARAMETERS angstrom
4.0803 0.0000 0.0000
0.0000 4.8005 0.0000
-1.9918 0.0000 6.6341
ATOMIC_POSITIONS crystal
Ba 0.0000 0.0000 0.0000
Li 0.2725 0.0000 0.5272
Li 0.7127 0.5000 0.4141
Tl 0.3692 0.5000 0.7345
```

Output
energy above the most stable polymorph in this dataset: 0.083 eV/atom
D(E_F): 0.789 states/eV per atom
total moment: 0.0 μB/cell
formation energy from the elements: -12 kJ/mol of atoms
symmetry: No. 6

Material: BaLi2Tl
Method: DFT, PBE-GGA
State: relaxed Values from VASP.

The structure in Quantum ESPRESSO input format:
```
&SYSTEM
  ibrav = 0, nat = 4, ntyp = 3
/
ATOMIC_SPECIES
Ba 137.33 Ba.upf
Li 6.94 Li.upf
Tl 204.38 Tl.upf
CELL_PARAMETERS angstrom
3.8680 0.0000 0.0000
0.0000 3.8680 0.0000
0.0000 0.0000 8.1540
ATOMIC_POSITIONS crystal
Ba 0.0000 0.0000 0.0000
Li 0.0000 0.0000 0.5243
Li 0.5000 0.5000 0.3434
Tl 0.5000 0.5000 0.6989
```

Output
energy above the most stable polymorph in this dataset: 0.089 eV/atom
D(E_F): 0.999 states/eV per atom
total moment: 0.0 μB/cell
formation energy from the elements: -12 kJ/mol of atoms
symmetry: No. 99

Question: Look up the D(E_F) of the eighth one.
Answer: 0.999 states/eV per atom

What did the sixth record say?
Material: BaLiTl4
Method: DFT, PBE-GGA
State: relaxed Values from VASP.

The structure in Quantum ESPRESSO input format:
```
&SYSTEM
  ibrav = 0, nat = 6, ntyp = 3
/
ATOMIC_SPECIES
Ba 137.33 Ba.upf
Li 6.94 Li.upf
Tl 204.38 Tl.upf
CELL_PARAMETERS angstrom
0.0000 4.6175 4.6175
4.6175 0.0000 4.6175
4.6175 4.6175 0.0000
ATOMIC_POSITIONS crystal
Ba 0.0000 0.0000 0.0000
Li 0.7500 0.7500 0.7500
Tl 0.3756 0.3756 0.3756
Tl 0.3756 0.3756 0.8731
Tl 0.3756 0.8731 0.3756
Tl 0.8731 0.3756 0.3756
```

Output
energy above the most stable polymorph in this dataset: 0.136 eV/atom
D(E_F): 0.772 states/eV per atom
total moment: 0.0 μB/cell
formation energy from the elements: -12 kJ/mol of atoms
symmetry: No. 216

Question: Number 1 is which compound?
Answer: Ba2LiTl8